CaMnAl2 | Alexandria via LeMat-Bulk | GGA-PBE | relaxed; Fermi-level density of states = 0.56 states/eV per atom; calculated total energy = -0.3408 Ry per atom; SG = Fm-3m
1.0
6.6749 0.0000 0.0000
0.0000 6.6749 0.0000
0.0000 0.0000 6.6749
Ca Mn Al
4 4 8
direct
0.0000 0.0000 0.0000 Ca
0.0000 0.5000 0.5000 Ca
0.5000 0.0000 0.5000 Ca
0.5000 0.5000 0.0000 Ca
0.0000 0.0000 0.5000 Mn
0.0000 0.5000 0.0000 Mn
0.5000 0.0000 0.0000 Mn
0.5000 0.5000 0.5000 Mn
0.2500 0.2500 0.2500 Al
0.2500 0.2500 0.7500 Al
0.2500 0.7500 0.2500 Al
0.2500 0.7500 0.7500 Al
0.7500 0.2500 0.2500 Al
0.7500 0.2500 0.7500 Al
0.7500 0.7500 0.2500 Al
0.7500 0.7500 0.7500 Al